1.
{"formula": "Ce4Tl3Bi", "functional": "PBE", "state": "relaxed", "crystal_system": "orthorhombic", "e_form_kcal_per_mol_atoms": -1.9, "cell": [[-2.144, 3.940, 7.519], [2.144, -3.940, 7.519], [2.144, 3.940, -7.519]], "species": ["Ce", "Ce", "Ce", "Ce", "Tl", "Tl", "Tl", "Bi"], "fractional_positions": [[0.042, 0.862, 0.180], [0.319, 0.138, 0.180], [0.681, 0.862, 0.820], [0.958, 0.138, 0.820], [0.000, 0.500, 0.500], [0.332, 0.332, 0.000], [0.668, 0.668, 0.000], [0.500, 0.000, 0.500]]}

2.
{"formula": "Tl2CuSi", "functional": "PBE", "state": "relaxed", "crystal_system": "trigonal", "raw_formation_energy_ev_per_atom": 0.155, "cell": [[2.040, 1.178, 6.883], [-2.040, 1.178, 6.883], [0.000, -2.355, 6.883]], "species": ["Tl", "Tl", "Cu", "Si"], "fractional_positions": [[0.000, 0.000, 0.000], [0.196, 0.196, 0.196], [0.433, 0.433, 0.433], [0.764, 0.764, 0.764]]}